1 | # BaTaW

A geometry-optimized BaTaW structure (GGA-PBEsol, the Alexandria database).

extended XYZ file:
```
3
Lattice="0.000 3.331 3.331 3.331 0.000 3.331 3.331 3.331 0.000" Properties=species:S:1:pos:R:3 pbc="T T T"
Ba 0.000 0.000 0.000
Ta 3.331 3.331 3.331
W 4.997 4.997 4.997
```


2 | # BaTaW

A geometry-optimized BaTaW structure (GGA-PBEsol, the Alexandria database).

extended XYZ file:
```
3
Lattice="4.975 0.000 0.000 -2.488 4.309 0.000 0.000 0.000 2.977" Properties=species:S:1:pos:R:3 pbc="T T T"
Ba 0.000 0.000 0.000
Ta 0.000 2.872 1.106
W 2.488 1.436 1.879
```


It is 2 that is most stable; the runner-up trails by 206 meV per atom.